1.
# NdGd2Cd3AgAu2

Crystalline NdGd2Cd3AgAu2 at its relaxed geometry (PBE-GGA, OQMD).

Cell: 3.9015 7.9270 7.9270 Å, 120.17 90.00 90.00°
Closest atoms and distances in Å follow each position.
Fractional coordinates of all 9 atoms:
1 Au 0.5000 0.6676 0.3294  3 Cd 2.93-3.00, 4 Gd 3.08, 2 Nd 3.12
2 Cd 0.5000 0.2588 0.2588  2 Ag 2.82, 2 Au 3.00
3 Ag 0.0000 0.0013 0.0013  6 Cd 2.82-2.85
4 Cd 0.5000 0.7402 0.0020  2 Ag 2.85, 2 Au 2.93-2.99
5 Au 0.5000 0.3294 0.6676  3 Cd 2.93-3.00, 4 Gd 3.08, 2 Nd 3.12
6 Gd 0.0000 0.4081 0.0000  4 Au 3.08, 1 Ag 3.23, 6 Cd 3.27-3.44
7 Cd 0.5000 0.0020 0.7402  2 Ag 2.85, 2 Au 2.93-2.99
8 Gd 0.0000 0.0000 0.4081  4 Au 3.08, 1 Ag 3.23, 6 Cd 3.27-3.44
9 Nd 0.0000 0.5926 0.5926  4 Au 3.12, 1 Ag 3.23, 6 Cd 3.28-3.45

Computed properties:
- Formation enthalpy at 0 K: -0.578 eV/atom
- Total DFT energy (no corrections): -31.3 eV per cell
- Symmetry: Amm2

2.
# MgSc2InAg2Au2

Crystalline MgSc2InAg2Au2 at its relaxed geometry (PBE-GGA, OQMD).

Cell: 4.7466 4.7466 6.7904 Å, 90.00 90.00 90.00°
Closest atoms and distances in Å follow each position.
Fractional coordinates of all 8 atoms:
1 Au 0.0000 0.5000 0.2650  2 Mg 2.86, 4 Sc 2.86-2.98, 2 In 2.98
2 Mg 0.5000 0.5000 0.5000  4 Au 2.86, 4 Ag 2.88
3 Ag 0.5000 0.0000 0.2584  4 Sc 2.88-2.95, 2 Mg 2.88, 2 In 2.95
4 In 0.0000 0.0000 0.0000  4 Ag 2.95, 4 Au 2.98
5 Sc 0.5000 0.5000 0.0000  4 Ag 2.95, 4 Au 2.98
6 Au 0.5000 0.0000 0.7350  4 Sc 2.86-2.98, 2 Mg 2.86, 2 In 2.98
7 Sc 0.0000 0.0000 0.5000  4 Au 2.86, 4 Ag 2.88
8 Ag 0.0000 0.5000 0.7416  4 Sc 2.88-2.95, 2 Mg 2.88, 2 In 2.95

Computed properties:
- Total DFT energy (no corrections): -33.3 eV per cell
- Symmetry: P-4m2